Below is Cr2SeBr after structural relaxation, with properties calculated at the PBE level.

E above lowest polymorph (eV per formula unit): 0.196
Raw formation energy (meV/atom): -38
Symmetry: I-42d, No. 122

Cell lengths 7.2587, 7.2587, 7.2587 Å; angles 130.12, 130.12, 73.21 degrees
Fractional coordinates of all 8 atoms:
Cr 0.0942 0.6250 0.9692
Cr 0.3750 0.3442 0.4692
Cr 0.6558 0.1250 0.0308
Cr 0.8750 0.9058 0.5308
Se 0.0000 0.0000 0.0000
Se 0.7500 0.2500 0.5000
Br 0.2500 0.7500 0.5000
Br 0.5000 0.5000 0.0000



Below is CrSe2Br after structural relaxation, with properties calculated at the PBE level.

E above lowest polymorph (eV per formula unit): 3.560
Raw formation energy (meV/atom): 525
Symmetry: P4/mmm, No. 123

Cell lengths 5.0831, 5.0831, 3.2066 Å; angles 90.00, 90.00, 90.00 degrees
Fractional coordinates of all 4 atoms:
Cr 0.0000 0.0000 0.0000
Se 0.0000 0.5000 0.5000
Se 0.5000 0.0000 0.5000
Br 0.5000 0.5000 0.0000



Below is CrSe2Br after structural relaxation, with properties calculated at the PBE level.

E above lowest polymorph (eV per formula unit): 1.978
Raw formation energy (meV/atom): 129
Symmetry: P4/mmm, No. 123

Cell lengths 3.7879, 3.7879, 6.9716 Å; angles 90.00, 90.00, 90.00 degrees
Fractional coordinates of all 4 atoms:
Cr 0.0000 0.0000 0.0000
Se 0.0000 0.5000 0.5000
Se 0.5000 0.0000 0.5000
Br 0.5000 0.5000 0.0000



Below is Cr2SeBr after structural relaxation, with properties calculated at the PBE level.

E above lowest polymorph (eV per formula unit): 0.890
Raw formation energy (meV/atom): 135
Symmetry: C2/m, No. 12

Cell lengths 4.5751, 4.5751, 7.1448 Å; angles 122.24, 122.24, 40.31 degrees
Fractional coordinates of all 4 atoms:
Cr 0.2184 0.2184 0.3754
Cr 0.7816 0.7816 0.6246
Se 0.0000 0.0000 0.5000
Br 0.5000 0.5000 0.0000



Below is CrSe2Br after structural relaxation, with properties calculated at the PBE level.

E above lowest polymorph (eV per formula unit): 1.136
Raw formation energy (meV/atom): -81
Symmetry: P4/mmm, No. 123

Cell lengths 2.9445, 2.9445, 10.5340 Å; angles 90.00, 90.00, 90.00 degrees
Fractional coordinates of all 4 atoms:
Cr 0.0000 0.0000 0.0000
Se 0.5000 0.5000 0.1433
Se 0.5000 0.5000 0.8567
Br 0.0000 0.0000 0.5000



Below is Cr2SeBr after structural relaxation, with properties calculated at the PBE level.

E above lowest polymorph (eV per formula unit): 2.817
Raw formation energy (meV/atom): 617
Symmetry: Fm-3m, No. 225

Cell lengths 4.3288, 4.3288, 4.3288 Å; angles 60.00, 60.00, 60.00 degrees
Fractional coordinates of all 4 atoms:
Cr 0.2500 0.2500 0.2500
Cr 0.7500 0.7500 0.7500
Se 0.0000 0.0000 0.0000
Br 0.5000 0.5000 0.5000



Below is Cr2SeBr after structural relaxation, with properties calculated at the PBE level.

E above lowest polymorph (eV per formula unit): 0.690
Raw formation energy (meV/atom): 85
Symmetry: Cmmm, No. 65

Cell lengths 4.0880, 4.0880, 7.4101 Å; angles 90.00, 90.00, 125.24 degrees
Fractional coordinates of all 4 atoms:
Cr 0.0000 0.0000 0.2278
Cr 0.0000 0.0000 0.7722
Se 0.5000 0.5000 0.0000
Br 0.5000 0.5000 0.5000



Below is CrSe2Br after structural relaxation, with properties calculated at the PBE level.

E above lowest polymorph (eV per formula unit): 1.889
Raw formation energy (meV/atom): 107
Symmetry: P4mm, No. 99

Cell lengths 3.0866, 3.0866, 10.3191 Å; angles 90.00, 90.00, 90.00 degrees
Fractional coordinates of all 4 atoms:
Cr 0.0000 0.0000 0.0000
Se 0.0000 0.0000 0.4459
Se 0.5000 0.5000 0.1348
Br 0.5000 0.5000 0.8247



Below is CrSe2Br after structural relaxation, with properties calculated at the PBE level.

E above lowest polymorph (eV per formula unit): 2.182
Raw formation energy (meV/atom): 180
Symmetry: C2/m, No. 12

Cell lengths 4.8912, 4.8912, 4.8887 Å; angles 109.53, 109.53, 109.24 degrees
Fractional coordinates of all 4 atoms:
Cr 0.0000 0.0000 0.0000
Se 0.0000 0.5000 0.5000
Se 0.5000 0.0000 0.5000
Br 0.5000 0.5000 0.0000



Below is Cr2SeBr after structural relaxation, with properties calculated at the PBE level.

E above lowest polymorph (eV per formula unit): 0.154
Raw formation energy (meV/atom): -49
Symmetry: P4/mmm, No. 123

Cell lengths 3.9151, 3.9151, 5.5028 Å; angles 90.00, 90.00, 90.00 degrees
Fractional coordinates of all 4 atoms:
Cr 0.0000 0.0000 0.0000
Cr 0.5000 0.5000 0.5000
Se 0.0000 0.0000 0.5000
Br 0.5000 0.5000 0.0000



Below is Cr2SeBr after structural relaxation, with properties calculated at the PBE level.

E above lowest polymorph (eV per formula unit): 3.208
Raw formation energy (meV/atom): 715
Symmetry: F-43m, No. 216

Cell lengths 4.9155, 4.9155, 4.9155 Å; angles 60.00, 60.00, 60.00 degrees
Fractional coordinates of all 4 atoms:
Cr 0.0000 0.0000 0.0000
Cr 0.2500 0.2500 0.2500
Se 0.7500 0.7500 0.7500
Br 0.5000 0.5000 0.5000



Below is Cr2SeBr after structural relaxation, with properties calculated at the PBE level.

E above lowest polymorph (eV per formula unit): 0.665
Raw formation energy (meV/atom): 79
Symmetry: Immm, No. 71

Cell lengths 5.5583, 5.5583, 5.5583 Å; angles 140.76, 96.54, 96.40 degrees
Fractional coordinates of all 4 atoms:
Cr 0.2322 0.2322 0.0000
Cr 0.7678 0.7678 0.0000
Se 0.0000 0.5000 0.5000
Br 0.5000 0.0000 0.5000



Below is Cr3SeBr after structural relaxation, with properties calculated at the PBE level.

E above lowest polymorph (eV per formula unit): 0.000
Raw formation energy (meV/atom): 1049
Symmetry: Pm-3m, No. 221

Cell lengths 5.0271, 5.0271, 5.0271 Å; angles 90.00, 90.00, 90.00 degrees
Fractional coordinates of all 5 atoms:
Cr 0.0000 0.0000 0.5000
Cr 0.0000 0.5000 0.0000
Cr 0.5000 0.0000 0.0000
Se 0.5000 0.5000 0.5000
Br 0.0000 0.0000 0.0000



Below is CrSe3Br after structural relaxation, with properties calculated at the PBE level.

E above lowest polymorph (eV per formula unit): 0.000
Raw formation energy (meV/atom): 237
Symmetry: Pm-3m, No. 221

Cell lengths 4.7659, 4.7659, 4.7659 Å; angles 90.00, 90.00, 90.00 degrees
Fractional coordinates of all 5 atoms:
Cr 0.0000 0.0000 0.0000
Se 0.0000 0.0000 0.5000
Se 0.0000 0.5000 0.0000
Se 0.5000 0.0000 0.0000
Br 0.5000 0.5000 0.5000



Below is Cr2SeBr after structural relaxation, with properties calculated at the PBE level.

E above lowest polymorph (eV per formula unit): 0.977
Raw formation energy (meV/atom): 157
Symmetry: P4/mmm, No. 123

Cell lengths 3.4012, 3.4012, 7.0497 Å; angles 90.00, 90.00, 90.00 degrees
Fractional coordinates of all 4 atoms:
Cr 0.0000 0.0000 0.2141
Cr 0.0000 0.0000 0.7859
Se 0.5000 0.5000 0.0000
Br 0.5000 0.5000 0.5000



Below is CrSe2Br after structural relaxation, with properties calculated at the PBE level.

E above lowest polymorph (eV per formula unit): 3.535
Raw formation energy (meV/atom): 519
Symmetry: Fm-3m, No. 225

Cell lengths 4.8345, 4.8345, 4.8345 Å; angles 60.00, 60.00, 60.00 degrees
Fractional coordinates of all 4 atoms:
Cr 0.0000 0.0000 0.0000
Se 0.2500 0.2500 0.2500
Se 0.7500 0.7500 0.7500
Br 0.5000 0.5000 0.5000



Below is CrSe2Br after structural relaxation, with properties calculated at the PBE level.

E above lowest polymorph (eV per formula unit): 0.747
Raw formation energy (meV/atom): -178
Symmetry: R-3m, No. 166

Cell lengths 10.3173, 10.3173, 10.3173 Å; angles 17.81, 17.81, 17.81 degrees
Fractional coordinates of all 4 atoms:
Cr 0.0000 0.0000 0.0000
Se 0.2809 0.2809 0.2809
Se 0.7191 0.7191 0.7191
Br 0.5000 0.5000 0.5000



Below is CrSe2Br after structural relaxation, with properties calculated at the PBE level.

E above lowest polymorph (eV per formula unit): 1.411
Raw formation energy (meV/atom): -13
Symmetry: Immm, No. 71

Cell lengths 6.9917, 6.9917, 6.9917 Å; angles 156.19, 118.56, 66.86 degrees
Fractional coordinates of all 4 atoms:
Cr 0.0000 0.0000 0.0000
Se 0.1601 0.6601 0.5000
Se 0.8399 0.3399 0.5000
Br 0.5000 0.5000 0.0000



Below is CrSe2Br after structural relaxation, with properties calculated at the PBE level.

E above lowest polymorph (eV per formula unit): 1.337
Raw formation energy (meV/atom): -31
Symmetry: I-42d, No. 122

Cell lengths 6.9015, 6.9015, 6.9015 Å; angles 122.34, 122.34, 86.00 degrees
Fractional coordinates of all 8 atoms:
Cr 0.0000 0.0000 0.0000
Cr 0.7500 0.2500 0.5000
Se 0.0221 0.6250 0.8971
Se 0.3750 0.2721 0.3971
Se 0.7279 0.1250 0.1029
Se 0.8750 0.9779 0.6029
Br 0.2500 0.7500 0.5000
Br 0.5000 0.5000 0.0000



Below is CrSe2Br after structural relaxation, with properties calculated at the PBE level.

E above lowest polymorph (eV per formula unit): 3.203
Raw formation energy (meV/atom): 436
Symmetry: R-3m, No. 166

Cell lengths 13.0265, 13.0265, 13.0265 Å; angles 13.15, 13.15, 13.15 degrees
Fractional coordinates of all 4 atoms:
Cr 0.0000 0.0000 0.0000
Se 0.0625 0.0625 0.0625
Se 0.9375 0.9375 0.9375
Br 0.5000 0.5000 0.5000